{
  "formula": "LiPm2PaO6",
  "functional": "GGA-PBE",
  "state": "optimized geometry",
  "raw_formation_energy_mev_per_atom": -3208,
  "space_group": "No. 146",
  "final_energy_ev_per_atom": -8.274,
  "rho_g_cm3": 6.7,
  "lattice_angstrom": [[5.932, 0.000, 0.000], [2.966, 5.138, 0.000], [2.966, 1.713, 5.045]],
  "species": ["Li", "Pm", "Pm", "O", "O", "O", "O", "O", "O", "Pa"],
  "frac_coords": [[0.810, 0.809, 0.572], [0.531, 0.531, 0.407], [0.027, 0.028, 0.918], [0.418, 0.683, 0.771], [0.601, 0.205, 0.249], [0.945, 0.601, 0.250], [0.128, 0.418, 0.770], [0.205, 0.945, 0.249], [0.683, 0.128, 0.771], [0.314, 0.314, 0.059]]
}


{
  "formula": "CsZr2Nb",
  "functional": "GGA-PBE",
  "state": "optimized geometry",
  "e_form_ev_per_atom": 1.47,
  "polymorph_energy_mev_per_atom": 261,
  "space_group": "No. 141",
  "final_energy_ev_per_atom": -5.540,
  "rho_g_cm3": 3.6,
  "lattice_angstrom": [[-1.825, 7.640, 1.995], [-7.092, -2.486, 3.033], [-1.970, 1.815, 7.707]],
  "species": ["Zr", "Zr", "Zr", "Zr", "Cs", "Cs", "Nb", "Nb"],
  "frac_coords": [[0.375, 0.625, 0.750], [0.875, 0.625, 0.750], [0.375, 0.125, 0.250], [0.375, 0.625, 0.250], [0.750, 0.250, 0.500], [0.000, 0.000, 0.000], [0.500, 0.500, 0.000], [0.250, 0.750, 0.500]]
}


{
  "formula": "SbOsCl2",
  "functional": "GGA-PBE",
  "state": "optimized geometry",
  "raw_formation_energy_mev_per_atom": 394,
  "polymorph_energy_mev_per_atom": 372,
  "space_group": "No. 99",
  "final_energy_ev_per_atom": -4.367,
  "rho_g_cm3": 7.3,
  "lattice_angstrom": [[3.171, 0.000, 0.000], [0.000, 3.171, 0.000], [0.000, 0.000, 8.636]],
  "species": ["Sb", "Cl", "Cl", "Os"],
  "frac_coords": [[0.500, 0.500, 0.711], [0.500, 0.500, 0.330], [0.000, 0.000, 0.944], [0.000, 0.000, 0.515]]
}


{
  "formula": "ZrGaSiTc2",
  "functional": "GGA-PBE",
  "state": "optimized geometry",
  "raw_formation_energy_mev_per_atom": 443,
  "space_group": "No. 123",
  "final_energy_ev_per_atom": -7.103,
  "rho_g_cm3": 7.1,
  "lattice_angstrom": [[4.512, 0.000, 0.000], [0.000, 4.396, 0.000], [0.000, 0.000, 4.512]],
  "species": ["Ga", "Si", "Tc", "Tc", "Zr"],
  "frac_coords": [[0.000, 0.500, 0.000], [0.000, 0.000, 0.000], [0.500, 0.000, 0.000], [0.000, 0.000, 0.500], [0.500, 0.500, 0.500]]
}


{
  "formula": "AcScBi",
  "functional": "GGA-PBE",
  "state": "optimized geometry",
  "e_form_ev_per_atom": -0.38,
  "polymorph_energy_mev_per_atom": 232,
  "space_group": "No. 63",
  "final_energy_ev_per_atom": -5.153,
  "rho_g_cm3": 8.0,
  "lattice_angstrom": [[6.754, 0.000, 0.000], [0.000, 8.464, 1.029], [0.000, -2.949, 6.590]],
  "species": ["Ac", "Ac", "Ac", "Ac", "Sc", "Sc", "Sc", "Sc", "Bi", "Bi", "Bi", "Bi"],
  "frac_coords": [[0.500, 0.750, 0.500], [0.500, 0.250, 0.500], [0.000, 0.250, 0.500], [0.000, 0.750, 0.500], [0.250, 0.904, 0.116], [0.750, 0.596, 0.884], [0.250, 0.404, 0.116], [0.750, 0.096, 0.884], [0.750, 0.419, 0.177], [0.750, 0.919, 0.177], [0.250, 0.081, 0.823], [0.250, 0.581, 0.823]]
}


{
  "formula": "CaPr2Ga3Pd4",
  "functional": "GGA-PBE",
  "state": "optimized geometry",
  "e_form_ev_per_atom": -0.73,
  "space_group": "No. 115",
  "final_energy_ev_per_atom": -4.875,
  "rho_g_cm3": 7.5,
  "lattice_angstrom": [[-3.575, 1.819, 1.433], [-2.238, -3.391, -1.279], [1.622, -4.981, 10.369]],
  "species": ["Pd", "Pd", "Pd", "Pd", "Pr", "Pr", "Ga", "Ga", "Ga", "Ca"],
  "frac_coords": [[0.000, 0.500, 0.341], [0.500, 0.000, 0.659], [0.000, 0.000, 0.000], [0.500, 0.500, 0.000], [0.500, 0.000, 0.226], [0.000, 0.500, 0.774], [0.500, 0.000, 0.879], [0.000, 0.000, 0.500], [0.000, 0.500, 0.121], [0.500, 0.500, 0.500]]
}


{
  "formula": "CsPrRuO6",
  "functional": "GGA-PBE",
  "state": "optimized geometry",
  "raw_formation_energy_mev_per_atom": -1458,
  "space_group": "No. 149",
  "final_energy_ev_per_atom": -6.420,
  "rho_g_cm3": 4.1,
  "lattice_angstrom": [[-4.137, -0.304, -4.108], [0.175, -4.238, -4.011], [-3.542, -3.786, 3.846]],
  "species": ["O", "O", "O", "O", "O", "O", "Cs", "Pr", "Ru"],
  "frac_coords": [[0.584, 0.059, 0.330], [0.357, 0.059, 0.670], [0.584, 0.357, 0.670], [0.357, 0.584, 0.330], [0.059, 0.357, 0.330], [0.059, 0.584, 0.670], [0.000, 0.000, 0.000], [0.667, 0.667, 0.500], [0.333, 0.333, 0.500]]
}


{
  "formula": "PuNpPa2",
  "functional": "GGA-PBE",
  "state": "optimized geometry",
  "e_form_ev_per_atom": 0.17,
  "polymorph_energy_mev_per_atom": 0,
  "space_group": "No. 123",
  "final_energy_ev_per_atom": -11.399,
  "rho_g_cm3": 16.8,
  "lattice_angstrom": [[-2.039, 2.590, 0.181], [-1.808, -1.582, 2.264], [4.834, 3.371, 6.215]],
  "species": ["Pa", "Pa", "Pu", "Np"],
  "frac_coords": [[0.000, 0.000, 0.247], [0.000, 0.000, 0.753], [0.500, 0.500, 0.500], [0.500, 0.500, 0.000]]
}


{
  "formula": "Ac3LaPb2C",
  "functional": "GGA-PBE",
  "state": "optimized geometry",
  "e_form_ev_per_atom": -0.38,
  "space_group": "No. 71",
  "final_energy_ev_per_atom": -5.221,
  "rho_g_cm3": 8.4,
  "lattice_angstrom": [[5.208, 0.000, 0.000], [0.000, 5.317, 0.000], [-2.604, -2.659, 8.845]],
  "species": ["Pb", "Pb", "Ac", "Ac", "Ac", "C", "La"],
  "frac_coords": [[0.362, 0.362, 0.723], [0.638, 0.638, 0.277], [0.000, 0.500, 0.000], [0.836, 0.836, 0.672], [0.164, 0.164, 0.328], [0.000, 0.000, 0.000], [0.500, 0.000, 0.000]]
}


{
  "formula": "Li2Cu2Pd",
  "functional": "GGA-PBE",
  "state": "optimized geometry",
  "e_form_ev_per_atom": -0.18,
  "polymorph_energy_mev_per_atom": 24,
  "space_group": "No. 12",
  "final_energy_ev_per_atom": -3.619,
  "rho_g_cm3": 6.4,
  "lattice_angstrom": [[-2.247, -1.279, 1.541], [0.258, -2.489, -1.690], [5.679, -0.737, 4.652]],
  "species": ["Cu", "Cu", "Pd", "Li", "Li"],
  "frac_coords": [[0.703, 0.704, 0.407], [0.297, 0.296, 0.593], [0.500, 0.500, 0.000], [0.102, 0.102, 0.205], [0.898, 0.898, 0.795]]
}


{
  "formula": "TlHg2Au",
  "functional": "GGA-PBE",
  "state": "optimized geometry",
  "e_form_ev_per_atom": 0.03,
  "polymorph_energy_mev_per_atom": 54,
  "space_group": "No. 99",
  "final_energy_ev_per_atom": -1.530,
  "rho_g_cm3": 13.2,
  "lattice_angstrom": [[3.686, 0.000, 0.000], [0.000, 3.680, 0.000], [0.000, 0.000, 7.451]],
  "species": ["Au", "Hg", "Hg", "Tl"],
  "frac_coords": [[0.500, 0.500, 0.764], [0.500, 0.500, 0.232], [0.000, 0.000, 0.976], [0.000, 0.000, 0.528]]
}


{
  "formula": "Ba2Cd2Pd3",
  "functional": "GGA-PBE",
  "state": "optimized geometry",
  "e_form_ev_per_atom": -0.43,
  "space_group": "No. 12",
  "final_energy_ev_per_atom": -3.461,
  "rho_g_cm3": 7.5,
  "lattice_angstrom": [[-3.313, -2.820, -1.685], [4.793, 0.722, -4.176], [1.038, -4.683, 5.798]],
  "species": ["Cd", "Cd", "Pd", "Pd", "Pd", "Ba", "Ba"],
  "frac_coords": [[0.865, 0.730, 0.746], [0.135, 0.270, 0.254], [0.500, 0.000, 0.000], [0.585, 0.171, 0.421], [0.415, 0.829, 0.579], [0.157, 0.313, 0.764], [0.843, 0.687, 0.236]]
}